Compound: Li2SmMnO4
Source: Alexandria via LeMat-Bulk
Functional: GGA+U
Structure: relaxed

```
Li2SmMnO4
1.0
5.3258 0.0000 0.0000
0.0000 5.3258 0.0000
0.0000 0.0000 6.6102
Li Sm Mn O
4 2 2 8
Direct
0.0000 0.5000 0.2500
0.0000 0.5000 0.7500
0.5000 0.0000 0.2500
0.5000 0.0000 0.7500
0.0000 0.0000 0.0000
0.5000 0.5000 0.5000
0.0000 0.0000 0.5000
0.5000 0.5000 0.0000
0.2235 0.2235 0.3585
0.2235 0.7765 0.6415
0.2765 0.2765 0.8585
0.2765 0.7235 0.1415
0.7235 0.2765 0.1415
0.7235 0.7235 0.8585
0.7765 0.2235 0.6415
0.7765 0.7765 0.3585
```

## Properties
Energy ... -6.681 eV per atom
Space-group type ... I-42m, No. 121
Total moment ... 8.00 μB per cell